Entry from the Alexandria database: a relaxed structure of BeVRh2Pb (PBE).

```
BeVRh2Pb
1.0
4.538 0.000 0.000
0.000 4.459 0.000
0.000 0.000 4.538
Be Pb V Rh
1 1 1 2
direct
0.000 0.500 0.000
0.500 0.500 0.500
0.000 0.000 0.000
0.500 0.000 0.000
0.000 0.000 0.500
```

## Properties
N(E_F)   5.258 states/eV/cell
Energy relative to the elements   0.6886 eV per atom